(1)
! PBE Ac3ErTl4Te8, relaxed; values from VASP
! - Formation energy (no corrections): -17.72 eV/f.u.
! - Total magnetization: 0.00 μB per formula unit
! - Final energy: -0.318 Ry/atom
! - Space group: R-3m, No. 166
! - Calculated density: 7.08 g/cm3
&SYSTEM
  ibrav = 0, nat = 16, ntyp = 4
/
ATOMIC_SPECIES
Tl 204.38 Tl.upf
Er 167.26 Er.upf
Ac 227.00 Ac.upf
Te 127.60 Te.upf
ATOMIC_POSITIONS crystal
Tl 0.0000 0.0000 0.0000
Tl 0.0000 0.0000 0.5000
Tl 0.5000 0.0000 0.5000
Tl 0.5000 0.0000 0.0000
Er 0.0000 0.5000 0.0000
Ac 0.5000 0.5000 0.5000
Ac 0.0000 0.5000 0.5000
Ac 0.5000 0.5000 0.0000
Te 0.7439 0.7317 0.4878
Te 0.2308 0.7209 0.9901
Te 0.7691 0.2791 0.5383
Te 0.2408 0.2791 0.0099
Te 0.2561 0.2683 0.5122
Te 0.7592 0.7209 0.9901
Te 0.2309 0.7209 0.4617
Te 0.7692 0.2791 0.0099
CELL_PARAMETERS angstrom
-1.2977 -9.0744 -2.2367
8.0703 0.2234 -5.5883
0.6799 2.5769 9.0532

---

(2)
! PBE Ac2ErTmTe6, relaxed; values from VASP
! - Formation energy (no corrections): -14.29 eV/f.u.
! - Total magnetization: 0.00 μB per formula unit
! - Final energy: -0.370 Ry/atom
! - Space group: R3, No. 146
! - N(E_F): 0.0 states/eV/cell
! - Calculated density: 6.59 g/cm3
&SYSTEM
  ibrav = 0, nat = 10, ntyp = 4
/
ATOMIC_SPECIES
Te 127.60 Te.upf
Tm 168.93 Tm.upf
Ac 227.00 Ac.upf
Er 167.26 Er.upf
ATOMIC_POSITIONS crystal
Te 0.5884 0.1872 0.2649
Te 0.4583 0.6864 0.7656
Te 0.1871 0.9595 0.2650
Te 0.0895 0.4584 0.7655
Te 0.9597 0.5882 0.2650
Te 0.6865 0.0898 0.7654
Tm 0.3222 0.3219 0.0338
Ac 0.5241 0.5243 0.4275
Ac 0.0241 0.0239 0.9281
Er 0.8218 0.8220 0.5343
CELL_PARAMETERS angstrom
-4.1305 6.2639 2.9501
-7.4147 1.5864 -2.7394
-6.5475 -1.4895 5.0040

---

(3)
! PBE Ac3Er3TmTe8, relaxed; values from VASP
! - Formation energy (no corrections): -20.89 eV/f.u.
! - Total magnetization: 0.00 μB per formula unit
! - Final energy: -0.375 Ry/atom
! - Space group: R-3m, No. 166
! - N(E_F): 7.2 states/eV/cell
! - Calculated density: 7.65 g/cm3
&SYSTEM
  ibrav = 0, nat = 15, ntyp = 4
/
ATOMIC_SPECIES
Er 167.26 Er.upf
Te 127.60 Te.upf
Ac 227.00 Ac.upf
Tm 168.93 Tm.upf
ATOMIC_POSITIONS crystal
Er 0.0000 0.5000 0.5000
Er 0.5000 0.0000 0.5000
Er 0.5000 0.5000 0.5000
Te 0.2456 0.9810 0.7266
Te 0.7544 0.0190 0.2734
Te 0.2456 0.4912 0.7266
Te 0.2646 0.0190 0.2734
Te 0.2596 0.5193 0.2789
Te 0.7404 0.4807 0.7211
Te 0.7544 0.5088 0.2734
Te 0.7354 0.9810 0.7266
Ac 0.5000 0.5000 0.0000
Ac 0.0000 0.0000 0.0000
Ac 0.0000 0.5000 0.0000
Tm 0.0000 0.0000 0.5000
CELL_PARAMETERS angstrom
8.8715 0.0000 0.0000
-4.4358 7.6831 -0.0277
0.0000 -5.0949 7.5775

---

(4)
! PBE Ac2ErTmTe5, relaxed; values from VASP
! - Formation energy (no corrections): -8.94 eV/f.u.
! - Total magnetization: 0.00 μB per formula unit
! - Final energy: -0.342 Ry/atom
! - Space group: P4/mmm, No. 123
! - N(E_F): 6.7 states/eV/cell
! - Calculated density: 6.84 g/cm3
&SYSTEM
  ibrav = 0, nat = 9, ntyp = 4
/
ATOMIC_SPECIES
Te 127.60 Te.upf
Ac 227.00 Ac.upf
Er 167.26 Er.upf
Tm 168.93 Tm.upf
ATOMIC_POSITIONS crystal
Te 0.0000 0.0000 0.7555
Te 0.5000 0.0000 0.5000
Te 0.0000 0.5000 0.5000
Te 0.0000 0.0000 0.2445
Te 0.5000 0.5000 0.0000
Ac 0.5000 0.5000 0.2963
Ac 0.5000 0.5000 0.7037
Er 0.0000 0.0000 0.0000
Tm 0.0000 0.0000 0.5000
CELL_PARAMETERS angstrom
-0.5334 4.2274 -3.4345
-5.1894 0.6537 1.6106
3.5013 7.2249 8.3492

---

(5)
! PBE Ac3ErTm3Te8, relaxed; values from VASP
! - Formation energy (no corrections): -20.75 eV/f.u.
! - Total magnetization: 0.00 μB per formula unit
! - Final energy: -0.373 Ry/atom
! - Space group: R-3m, No. 166
! - N(E_F): 7.2 states/eV/cell
! - Calculated density: 7.70 g/cm3
&SYSTEM
  ibrav = 0, nat = 15, ntyp = 4
/
ATOMIC_SPECIES
Te 127.60 Te.upf
Tm 168.93 Tm.upf
Ac 227.00 Ac.upf
Er 167.26 Er.upf
ATOMIC_POSITIONS crystal
Te 0.7531 0.0201 0.2733
Te 0.7330 0.9799 0.7267
Te 0.2670 0.0201 0.2733
Te 0.2469 0.9799 0.7267
Te 0.7399 0.4797 0.7196
Te 0.7531 0.5063 0.2733
Te 0.2601 0.5203 0.2804
Te 0.2469 0.4937 0.7267
Tm 0.5000 0.0000 0.5000
Tm 0.5000 0.5000 0.5000
Tm 0.0000 0.5000 0.5000
Ac 0.5000 0.5000 0.0000
Ac 0.0000 0.5000 0.0000
Ac 0.0000 0.0000 0.0000
Er 0.0000 0.0000 0.5000
CELL_PARAMETERS angstrom
-0.2367 -4.9888 -7.3091
6.5509 5.8405 1.1624
-0.1834 -7.5274 5.1437

---

(6)
! PBE AcYErTe3, relaxed; values from VASP
! - Formation energy (no corrections): -7.62 eV/f.u.
! - Total magnetization: 0.00 μB per formula unit
! - Final energy: -0.394 Ry/atom
! - Space group: P2_1/m, No. 11
! - N(E_F): 9.0 states/eV/cell
! - Calculated density: 7.15 g/cm3
&SYSTEM
  ibrav = 0, nat = 12, ntyp = 4
/
ATOMIC_SPECIES
Te 127.60 Te.upf
Y 88.91 Y.upf
Er 167.26 Er.upf
Ac 227.00 Ac.upf
ATOMIC_POSITIONS crystal
Te 0.7500 0.4842 0.1961
Te 0.2500 0.7707 0.5379
Te 0.2500 0.5158 0.8039
Te 0.7500 0.2293 0.4621
Te 0.7500 0.8995 0.1025
Te 0.2500 0.1005 0.8975
Y 0.7500 0.8500 0.3753
Y 0.2500 0.1500 0.6247
Er 0.2500 0.6620 0.0974
Er 0.7500 0.3379 0.9026
Ac 0.7500 0.8111 0.7758
Ac 0.2500 0.1889 0.2242
CELL_PARAMETERS angstrom
-1.8179 -2.1985 3.3516
0.8395 -7.4518 -4.4326
9.1744 1.4069 5.8989

---

(7)
! PBE AcErTh2, relaxed; values from VASP
! - Formation enthalpy at 0 K: 0.13 eV per atom
! - Total magnetization: 0.00 μB per formula unit
! - Final energy: -0.422 Ry/atom
! - Space group: P4/mmm, No. 123
! - ΔE to the lowest computed polymorph: 0.000 kcal/mol of atoms
! - N(E_F): 6.9 states/eV/cell
! - Calculated density: 10.34 g/cm3
&SYSTEM
  ibrav = 0, nat = 4, ntyp = 3
/
ATOMIC_SPECIES
Th 232.04 Th.upf
Ac 227.00 Ac.upf
Er 167.26 Er.upf
ATOMIC_POSITIONS crystal
Th 0.0000 0.5000 0.0000
Th 0.0000 0.0000 0.5000
Ac 0.5000 0.0000 0.0000
Er 0.5000 0.5000 0.5000
CELL_PARAMETERS angstrom
5.2385 0.0000 0.0000
0.0000 5.1285 0.0000
0.0000 0.0000 5.1285

---

(8)
! PBE AcErTh2, relaxed; values from VASP
! - Formation enthalpy at 0 K: 0.21 eV per atom
! - Total magnetization: 0.00 μB per formula unit
! - Final energy: -0.416 Ry/atom
! - Space group: P4/mmm, No. 123
! - ΔE to the lowest computed polymorph: 1.809 kcal/mol of atoms
! - N(E_F): 6.4 states/eV/cell
! - Calculated density: 10.20 g/cm3
&SYSTEM
  ibrav = 0, nat = 4, ntyp = 3
/
ATOMIC_SPECIES
Ac 227.00 Ac.upf
Th 232.04 Th.upf
Er 167.26 Er.upf
ATOMIC_POSITIONS crystal
Ac 0.5000 0.5000 0.5000
Th 0.0000 0.0000 0.2151
Th 0.0000 0.0000 0.7849
Er 0.5000 0.5000 0.0000
CELL_PARAMETERS angstrom
-2.0636 -2.7826 -2.4056
3.6232 -2.0131 -0.7795
-1.1810 -4.5605 6.2885

---

(9)
! PBE AcErTh2, relaxed; values from VASP
! - Formation enthalpy at 0 K: 0.24 eV per atom
! - Total magnetization: 0.00 μB per formula unit
! - Final energy: -0.414 Ry/atom
! - Space group: R-3m, No. 166
! - ΔE to the lowest computed polymorph: 2.523 kcal/mol of atoms
! - N(E_F): 5.8 states/eV/cell
! - Calculated density: 10.12 g/cm3
&SYSTEM
  ibrav = 0, nat = 4, ntyp = 3
/
ATOMIC_SPECIES
Th 232.04 Th.upf
Ac 227.00 Ac.upf
Er 167.26 Er.upf
ATOMIC_POSITIONS crystal
Th 0.9088 0.9088 0.2737
Th 0.0912 0.0912 0.7263
Ac 0.0000 0.0000 0.0000
Er 0.5000 0.5000 0.5000
CELL_PARAMETERS angstrom
-0.9149 3.4358 -0.3555
-2.9831 0.8819 -1.7585
-7.8981 0.8075 10.1727

---

(10)
! PBE AcEr12Th5, relaxed; values from VASP
! - Formation enthalpy at 0 K: 0.02 eV per atom
! - Total magnetization: 0.00 μB per formula unit
! - Final energy: -0.390 Ry/atom
! - Space group: C2/m, No. 12
! - N(E_F): 23.7 states/eV/cell
! - Calculated density: 9.89 g/cm3
&SYSTEM
  ibrav = 0, nat = 18, ntyp = 3
/
ATOMIC_SPECIES
Th 232.04 Th.upf
Er 167.26 Er.upf
Ac 227.00 Ac.upf
ATOMIC_POSITIONS crystal
Th 0.8339 0.1661 0.5000
Th 0.1661 0.8339 0.5000
Th 0.5000 0.5000 0.5000
Th 0.3333 0.6667 0.0000
Th 0.6667 0.3333 0.0000
Er 0.7150 0.7150 0.8332
Er 0.8883 0.8883 0.3338
Er 0.0551 0.3950 0.8331
Er 0.3950 0.0551 0.8331
Er 0.2214 0.5548 0.3354
Er 0.4452 0.7786 0.6646
Er 0.7786 0.4452 0.6646
Er 0.6050 0.9449 0.1669
Er 0.5548 0.2214 0.3354
Er 0.2850 0.2850 0.1668
Er 0.9449 0.6050 0.1669
Er 0.1117 0.1117 0.6662
Ac 0.0000 0.0000 0.0000
CELL_PARAMETERS angstrom
5.3745 3.0972 0.1841
-5.3745 3.0972 0.1841
0.0000 1.0417 17.1841